[1]
Entry from Alexandria: crystalline LiBPb3 at its relaxed geometry (GGA-PBE).

Results
excess energy over the best structure of this formula in the dataset	0.0	kJ/mol of atoms
volume	136	Å³/f.u.
total energy	-16.92	eV for the cell shown
D(E_F)	2.52	states/eV/f.u.

Structure (extended XYZ):
```
5
Lattice="-2.5411 2.8821 -3.4128 -0.5994 -4.1108 -3.0253 -4.4265 -1.0979 2.3688" Properties=species:S:1:pos:R:3 pbc="T T T"
Li -3.7835 -1.1633 -2.0346
Pb -0.2997 -2.0554 -1.5127
Pb -2.2133 -0.5489 1.1844
Pb -1.2706 1.4410 -1.7064
B 0.0000 0.0000 0.0000
```


[2]
Entry from Alexandria: crystalline TbCdHgPb at its relaxed geometry (GGA-PBE).

Results
excess energy over the best structure of this formula in the dataset	0.0	kJ/mol of atoms
volume	102	Å³/f.u.
total energy	-10.96	eV for the cell shown
D(E_F)	1.44	states/eV/f.u.

Structure (extended XYZ):
```
4
Lattice="-3.2636 1.1259 -3.1307 -3.1655 -0.8029 3.0112 0.2077 4.6776 1.4656" Properties=species:S:1:pos:R:3 pbc="T T T"
Pb -1.4789 1.9373 2.2384
Hg -3.2145 0.1615 -0.0597
Cd 0.0000 0.0000 0.0000
Tb -1.5279 2.9017 -0.8325
```


[3]
Entry from Alexandria: crystalline Ac2CeTe3 at its relaxed geometry (GGA-PBE).

Results
excess energy over the best structure of this formula in the dataset	0.0	kJ/mol of atoms
volume	214	Å³/f.u.
total energy	-128.91	eV for the cell shown
D(E_F)	9.49	states/eV/f.u.

Structure (extended XYZ):
```
24
Lattice="7.9539 0.0625 -1.4796 -3.0191 7.3590 -1.4796 -0.0491 -0.0737 14.6337" Properties=species:S:1:pos:R:3 pbc="T T T"
Te 2.8309 4.3719 8.0696
Te 0.4142 0.5086 9.5820
Te 4.7735 1.1148 10.9218
Te -0.7637 4.9156 10.8890
Te 4.5770 6.7689 2.0925
Te 1.1713 1.7615 -0.7024
Te 1.9493 3.0460 3.6050
Te 0.8709 7.2595 5.1349
Te 3.7635 5.6599 -2.2568
Te 5.7042 2.5145 0.7527
Te -1.4717 3.7365 6.5397
Te 0.0574 6.1505 0.7856
Ce 4.4832 6.7424 9.4851
Ce 0.1021 6.1033 8.0267
Ce 0.4025 0.6054 2.1894
Ce -0.7029 4.8926 3.6479
Ac 4.7932 1.2589 3.7004
Ac 3.6692 5.5181 5.0574
Ac 3.9843 0.0423 -0.6997
Ac 5.5789 2.4406 7.9741
Ac 2.0254 3.0462 11.0173
Ac 2.8602 4.3015 0.6573
Ac 6.3879 3.6571 12.3742
Ac 1.2165 1.8296 6.6172
```


[4]
Entry from Alexandria: crystalline NdHoTeSe at its relaxed geometry (GGA-PBE).

Results
volume	112	Å³/f.u.
total energy	-22.02	eV for the cell shown
D(E_F)	1.98	states/eV/f.u.

Structure (extended XYZ):
```
4
Lattice="4.1241 -0.0015 0.0000 -2.0624 3.5735 0.0003 -2.0598 -1.1896 7.6274" Properties=species:S:1:pos:R:3 pbc="T T T"
Nd 2.4528 0.9296 2.8508
Se 0.3907 -0.2611 4.8299
Te -1.6728 3.3123 0.7855
Ho -1.6715 0.9304 6.5578
```


[5]
Entry from Alexandria: crystalline CdPtSe2 at its relaxed geometry (GGA-PBE).

Results
volume	84	Å³/f.u.
total energy	-13.91	eV for the cell shown
D(E_F)	1.74	states/eV/f.u.

Structure (extended XYZ):
```
4
Lattice="6.7590 0.0014 0.0521 4.5683 4.9815 -0.0521 -5.2551 -3.4202 2.5245" Properties=species:S:1:pos:R:3 pbc="T T T"
Se 3.7863 -0.3746 1.2883
Se 0.6593 0.2900 0.0000
Pt 2.3194 1.9520 1.2362
Cd 4.9708 2.1867 0.0000
```


[6]
Entry from Alexandria: crystalline SrSi2Pb2 at its relaxed geometry (GGA-PBE).

Results
excess energy over the best structure of this formula in the dataset	0.0	kJ/mol of atoms
volume	141	Å³/f.u.
total energy	-20.04	eV for the cell shown
D(E_F)	0.96	states/eV/f.u.

Structure (extended XYZ):
```
5
Lattice="4.7364 0.0000 0.0000 0.0000 4.7364 0.0000 2.3682 2.3682 6.3060" Properties=species:S:1:pos:R:3 pbc="T T T"
Pb 4.7364 2.3682 3.1530
Pb 2.3682 4.7364 3.1530
Si 4.7364 4.7364 5.1562
Si 2.3682 2.3682 1.1498
Sr 0.0000 0.0000 0.0000
```


[7]
Entry from Alexandria: crystalline HfCrSe2 at its relaxed geometry (GGA-PBE).

Results
excess energy over the best structure of this formula in the dataset	11.4	kJ/mol of atoms
volume	103	Å³/f.u.
total energy	-56.11	eV for the cell shown
D(E_F)	1.52	states/eV/f.u.

Structure (extended XYZ):
```
8
Lattice="5.9403 0.0000 0.0000 0.0000 5.9403 0.0000 2.9701 2.9701 5.8169" Properties=species:S:1:pos:R:3 pbc="T T T"
Cr 2.9701 5.9403 2.9084
Cr 2.9701 2.9701 0.0000
Se 4.4059 1.4851 1.4542
Se 1.5344 4.4552 1.4542
Se 4.4552 4.5045 4.3627
Se 7.4254 7.3761 4.3627
Hf 0.0000 0.0000 0.0000
Hf 5.9403 2.9701 2.9084
```